DFT (PBE) results for crystalline Pm2NiC at its relaxed geometry.

Cell and atoms, written as POSCAR:
```
Pm2NiC
1.0
1.7903 1.0336 8.0912
-1.7903 1.0336 8.0912
0.0000 -2.0673 8.0912
Pm Ni C
2 1 1
direct
0.1083 0.1083 0.1083
0.8917 0.8917 0.8917
0.0000 0.0000 0.0000
0.5000 0.5000 0.5000
```

Computed properties:
Crystal system: trigonal
Total magnetization: 0.000 Bohr magnetons per cell
Formation enthalpy at 0 K: 0.32 eV/atom
E: -23.2 eV per cell
SG: R-3m (166)